[1]
# Ta2AlCl, relaxed, DFT PBE
# - E above lowest polymorph (eV/atom) = 0.000
# - volume (Å³/cell) = 173
# - calculated density (Mg/m³) = 8.2
# - E_form (uncorrected) (eV per formula unit) = -0.312
data_Ta2AlCl
_symmetry_space_group_name_H-M 'C m m 2'
_symmetry_Int_Tables_number 35
_symmetry_space_group_name_Hall 'C 2 -2'
_cell_length_a 3.3535
_cell_length_b 4.8429
_cell_length_c 10.6368
_cell_angle_alpha 90.00
_cell_angle_beta 90.00
_cell_angle_gamma 90.00
loop_
_atom_site_label
_atom_site_type_symbol
_atom_site_fract_x
_atom_site_fract_y
_atom_site_fract_z
Ta1 Ta 0.0000 0.0000 0.0000
Ta2 Ta 0.0000 0.5000 0.2123
Al1 Al 0.0000 0.5000 0.7963
Cl1 Cl 0.0000 0.0000 0.3930

---

[2]
# TaAl2Cl, relaxed, DFT PBE
# - E above lowest polymorph (eV/atom) = 0.586
# - volume (Å³/cell) = 137
# - calculated density (Mg/m³) = 6.6
# - E_form (uncorrected) (eV per formula unit) = 1.280
data_TaAl2Cl
_symmetry_space_group_name_H-M 'I 4/m m m'
_symmetry_Int_Tables_number 139
_symmetry_space_group_name_Hall '-I 4 2'
_cell_length_a 3.9243
_cell_length_b 3.9243
_cell_length_c 8.8838
_cell_angle_alpha 90.00
_cell_angle_beta 90.00
_cell_angle_gamma 90.00
loop_
_atom_site_label
_atom_site_type_symbol
_atom_site_fract_x
_atom_site_fract_y
_atom_site_fract_z
Ta1 Ta 0.0000 0.0000 0.0000
Al1 Al 0.0000 0.5000 0.2500
Cl1 Cl 0.0000 0.0000 0.5000

---

[3]
# Ta2AlCl, relaxed, DFT PBE
# - E above lowest polymorph (eV/atom) = 0.501
# - volume (Å³/cell) = 139
# - calculated density (Mg/m³) = 10.1
# - E_form (uncorrected) (eV per formula unit) = 1.693
data_Ta2AlCl
_symmetry_space_group_name_H-M 'C 1 2/m 1'
_symmetry_Int_Tables_number 12
_symmetry_space_group_name_Hall '-C 2y'
_cell_length_a 5.9433
_cell_length_b 8.4299
_cell_length_c 2.9209
_cell_angle_alpha 90.00
_cell_angle_beta 108.00
_cell_angle_gamma 90.00
loop_
_atom_site_label
_atom_site_type_symbol
_atom_site_fract_x
_atom_site_fract_y
_atom_site_fract_z
Ta1 Ta 0.2500 0.2500 0.0000
Al1 Al 0.0000 0.0000 0.5000
Cl1 Cl 0.0000 0.5000 0.5000